The following is a PBE calculation of NbHgN2F after structural relaxation, from the Alexandria database.

Results
relative energy among the computed polymorphs = 0.000 eV/f.u.
formation energy without anion corrections = -1.58 eV per formula unit

Cell lengths 4.1342, 4.1342, 4.1625 Å; angles 90.00, 90.00, 90.00 degrees
Fractional coordinates of all 5 atoms:
Nb  0.0000  0.0000  0.0000
Hg  0.5000  0.5000  0.5000
N  0.0000  0.5000  0.0000
N  0.5000  0.0000  0.0000
F  0.0000  0.0000  0.5000

The following is a PBE calculation of NbHgN2F after structural relaxation, from the Alexandria database.

Results
relative energy among the computed polymorphs = 8.804 eV/f.u.
formation energy without anion corrections = 7.23 eV per formula unit

Cell lengths 4.1646, 4.1646, 4.3118 Å; angles 90.00, 90.00, 90.00 degrees
Fractional coordinates of all 5 atoms:
Nb  0.0000  0.0000  0.0000
Hg  0.5000  0.5000  0.5000
N  0.0000  0.5000  0.5000
N  0.5000  0.0000  0.5000
F  0.5000  0.5000  0.0000

The following is a PBE calculation of NbHgNF2 after structural relaxation, from the Alexandria database.

Results
relative energy among the computed polymorphs = 0.000 eV/f.u.
formation energy without anion corrections = -5.82 eV per formula unit

Cell lengths 4.3026, 4.3026, 4.0547 Å; angles 90.00, 90.00, 90.00 degrees
Fractional coordinates of all 5 atoms:
Nb  0.0000  0.0000  0.0000
Hg  0.5000  0.5000  0.5000
N  0.0000  0.0000  0.5000
F  0.0000  0.5000  0.0000
F  0.5000  0.0000  0.0000

The following is a PBE calculation of NbHgNF2 after structural relaxation, from the Alexandria database.

Results
relative energy among the computed polymorphs = 8.391 eV/f.u.
formation energy without anion corrections = 2.57 eV per formula unit

Cell lengths 4.4190, 4.4190, 4.2641 Å; angles 90.00, 90.00, 90.00 degrees
Fractional coordinates of all 5 atoms:
Nb  0.0000  0.0000  0.0000
Hg  0.5000  0.5000  0.5000
N  0.5000  0.5000  0.0000
F  0.0000  0.5000  0.5000
F  0.5000  0.0000  0.5000